(1)
Density functional theory data (GGA-PBE) for a relaxed Ca2DyMg3 crystal.

The symmetry is No. 123. As for the formation enthalpy at 0 K: -0.072 eV/atom.

Cell lengths 3.817, 3.817, 12.246 Å; angles 90.00, 90.00, 90.00 degrees
Positions (direct):
Ca 0.000 0.000 0.173
Ca 0.000 0.000 0.827
Dy 0.000 0.000 0.500
Mg 0.500 0.500 0.000
Mg 0.500 0.500 0.345
Mg 0.500 0.500 0.655

(2)
Density functional theory data (GGA-PBE) for a relaxed BeNb3Co crystal.

The symmetry is No. 221. As for the formation enthalpy at 0 K: 0.929 eV/atom. The energy above the most stable polymorph in this dataset is 151 meV per atom.

Cell lengths 4.559, 4.559, 4.559 Å; angles 90.00, 90.00, 90.00 degrees
Positions (direct):
Be 0.000 0.000 0.000
Nb 0.000 0.500 0.500
Nb 0.500 0.000 0.500
Nb 0.500 0.500 0.000
Co 0.500 0.500 0.500

(3)
Density functional theory data (GGA-PBE) for a relaxed RuC crystal.

The symmetry is No. 129. As for the formation enthalpy at 0 K: 0.893 eV/atom. The energy above the most stable polymorph in this dataset is 528 meV per atom.

Cell lengths 3.818, 3.818, 4.808 Å; angles 90.00, 90.00, 90.00 degrees
Positions (direct):
Ru 0.250 0.750 0.000
Ru 0.750 0.250 0.000
C 0.250 0.250 0.135
C 0.750 0.750 0.865

Number 1: DOS at the Fermi energy 7.2 states/eV per cell. Number 2: DOS at the Fermi energy 6.5 states/eV per cell. Number 3: DOS at the Fermi energy 2.0 states/eV per cell.